Record 1
CsRbNaLi | the Alexandria database | PBE-GGA | relaxed; formation energy from the elements = 0.137 eV per atom; M_tot = 0.0 μB per formula unit; calculated volume = 61.6 Å³ per atom
1.0
7.037 0.000 0.000
3.518 6.094 0.000
3.518 2.031 5.745
Cs Na Rb Li
1 1 1 1
direct
0.750 0.750 0.750 Cs
0.500 0.500 0.500 Na
0.250 0.250 0.250 Rb
0.000 0.000 0.000 Li

***

Record 2
CsNaLi2Ru | the Alexandria database | PBE-GGA | relaxed; formation energy from the elements = 0.750 eV per atom; M_tot = 0.0 μB per formula unit; calculated volume = 29.4 Å³ per atom
1.0
-4.244 1.984 2.219
-2.884 -4.340 -1.635
1.169 -2.443 4.420
Li Cs Ru Na
2 1 1 1
direct
0.000 0.000 0.500 Li
0.500 0.000 0.000 Li
0.000 0.500 0.000 Cs
0.000 0.000 0.000 Ru
0.500 0.500 0.500 Na

***

Record 3
Cs2NaLiS2 | the Alexandria database | PBE-GGA | relaxed; M_tot = 0.0 μB per formula unit; calculated volume = 29.0 Å³ per atom; uncorrected formation energy = -6.6 eV/f.u.
1.0
-0.342 1.850 -6.404
-6.420 1.375 0.740
5.200 5.783 4.871
Cs S Li Na
4 4 2 2
direct
0.082 0.330 0.659 Cs
0.918 0.670 0.341 Cs
0.423 0.170 0.341 Cs
0.577 0.830 0.659 Cs
0.641 0.412 0.825 S
0.816 0.088 0.175 S
0.359 0.588 0.175 S
0.184 0.912 0.825 S
0.500 0.750 0.000 Li
0.500 0.250 0.000 Li
0.000 0.750 0.000 Na
0.000 0.250 0.000 Na

***

Record 4
CsNaLi2Sb | the Alexandria database | PBE-GGA | relaxed; M_tot = 0.0 μB per formula unit; calculated volume = 37.1 Å³ per atom; uncorrected formation energy = -1.3 eV/f.u.
1.0
5.501 0.000 0.000
0.000 5.501 0.000
0.000 0.000 6.130
Na Sb Cs Li
1 1 1 2
direct
0.000 0.000 0.500 Na
0.000 0.000 0.000 Sb
0.500 0.500 0.500 Cs
0.000 0.500 0.000 Li
0.500 0.000 0.000 Li

***

Record 5
CsNa2LiSi | the Alexandria database | PBE-GGA | relaxed; M_tot = 0.0 μB per formula unit; calculated volume = 35.1 Å³ per atom; uncorrected formation energy = 0.3 eV/f.u.
1.0
-4.029 -2.817 3.045
-2.581 -1.098 -4.432
3.017 -4.903 -0.543
Na Cs Li Si
2 1 1 1
direct
0.500 0.000 0.000 Na
0.000 0.000 0.500 Na
0.500 0.500 0.500 Cs
0.000 0.500 0.000 Li
0.000 0.000 0.000 Si

***

Record 6
CsNaLi2Si | the Alexandria database | PBE-GGA | relaxed; M_tot = 0.0 μB per formula unit; calculated volume = 31.1 Å³ per atom; uncorrected formation energy = 0.0 eV/f.u.
1.0
5.222 0.000 0.000
0.000 5.222 0.000
0.000 0.000 5.695
Na Cs Li Si
1 1 2 1
direct
0.000 0.000 0.500 Na
0.500 0.500 0.500 Cs
0.000 0.500 0.000 Li
0.500 0.000 0.000 Li
0.000 0.000 0.000 Si

***

Record 7
CsNa2LiSn | the Alexandria database | PBE-GGA | relaxed; formation energy from the elements = -0.022 eV per atom; M_tot = 0.0 μB per formula unit; calculated volume = 36.9 Å³ per atom
1.0
5.942 0.000 0.000
0.000 5.942 0.000
0.000 0.000 5.225
Li Sn Na Cs
1 1 2 1
direct
0.000 0.000 0.000 Li
0.000 0.000 0.500 Sn
0.000 0.500 0.000 Na
0.500 0.000 0.000 Na
0.500 0.500 0.500 Cs

***

Record 8
CsNaLi2Sn | the Alexandria database | PBE-GGA | relaxed; formation energy from the elements = -0.167 eV per atom; M_tot = 0.0 μB per formula unit; calculated volume = 36.4 Å³ per atom
1.0
-4.918 2.309 0.951
-1.785 -4.719 2.227
1.892 1.818 5.368
Li Sn Na Cs
2 1 1 1
direct
0.500 0.000 0.000 Li
0.000 0.500 0.000 Li
0.000 0.000 0.000 Sn
0.000 0.000 0.500 Na
0.500 0.500 0.500 Cs

***

Record 9
CsNa2LiSn | the Alexandria database | PBE-GGA | relaxed; formation energy from the elements = -0.136 eV per atom; M_tot = 0.0 μB per formula unit; calculated volume = 40.7 Å³ per atom
1.0
-2.415 1.376 5.382
-4.773 -3.517 -1.242
2.600 -4.333 2.275
Li Cs Sn Na
1 1 1 2
direct
0.000 0.000 0.500 Li
0.500 0.500 0.500 Cs
0.000 0.000 0.000 Sn
0.000 0.500 0.000 Na
0.500 0.000 0.000 Na

***

Record 10
CsNaSr2Li | the Alexandria database | PBE-GGA | relaxed; formation energy from the elements = 0.181 eV per atom; M_tot = 0.0 μB per formula unit; calculated volume = 56.4 Å³ per atom
1.0
-4.039 2.532 4.607
-5.000 -0.057 -4.353
-1.572 -5.932 1.883
Sr Na Li Cs
2 1 1 1
direct
0.000 0.500 0.000 Sr
0.500 0.000 0.000 Sr
0.000 0.000 0.500 Na
0.000 0.000 0.000 Li
0.500 0.500 0.500 Cs

***

Record 11
CsNaLi2Tc | the Alexandria database | PBE-GGA | relaxed; formation energy from the elements = 0.932 eV per atom; M_tot = 3.3 μB per formula unit; calculated volume = 36.7 Å³ per atom
1.0
5.505 0.000 0.000
0.000 6.058 0.000
0.000 0.000 5.505
Li Na Tc Cs
2 1 1 1
direct
0.000 0.000 0.500 Li
0.500 0.000 0.000 Li
0.000 0.500 0.000 Na
0.000 0.000 0.000 Tc
0.500 0.500 0.500 Cs

***

Record 12
Cs2NaLiTe2 | the Alexandria database | PBE-GGA | relaxed; M_tot = 0.0 μB per formula unit; calculated volume = 38.7 Å³ per atom; uncorrected formation energy = -6.2 eV/f.u.
1.0
7.434 0.000 0.000
0.000 7.388 0.000
-3.717 -3.694 8.466
Te Li Cs Na
4 2 4 2
direct
0.824 0.093 0.186 Te
0.363 0.593 0.186 Te
0.637 0.407 0.814 Te
0.176 0.907 0.814 Te
0.500 0.750 0.000 Li
0.500 0.250 0.000 Li
0.078 0.331 0.662 Cs
0.584 0.831 0.662 Cs
0.416 0.169 0.338 Cs
0.922 0.669 0.338 Cs
0.000 0.250 0.000 Na
0.000 0.750 0.000 Na

***

Among the records above, which one has the lowest calculated volume? Cs2NaLiS2

***

M_tot of number 6 (CsNaLi2Si)? 0.0 μB per formula unit